No. 1
ZrScRh4 | PBE | relaxed

## Properties
* calculated formation energy: -3.0 eV/f.u.
* offset from the most stable computed form: 0.150 eV per atom

abc: 10.1306 3.2301 6.3586
angles: 90.00 108.31 90.00
Sites, in units of the cell vectors:
Zr1 0.0000 0.0000 0.0000
Zr2 0.5000 0.5000 0.0000
Sc1 0.0000 0.0000 0.5000
Sc2 0.5000 0.5000 0.5000
Rh1 0.1565 0.5000 0.3346
Rh2 0.1587 0.5000 0.8262
Rh3 0.3413 0.0000 0.1738
Rh4 0.3435 0.0000 0.6654
Rh5 0.6565 0.0000 0.3346
Rh6 0.6587 0.0000 0.8262
Rh7 0.8413 0.5000 0.1738
Rh8 0.8435 0.5000 0.6654

***

No. 2
Te3IrN | PBE | relaxed

## Properties
* energy relative to the elements, uncorrected: 1.1318 eV per atom
* offset from the most stable computed form: 0.000 eV per atom

abc: 4.6370 4.6370 4.6370
angles: 90.00 90.00 90.00
Sites, in units of the cell vectors:
Te1 0.0000 0.0000 0.5000
Te2 0.0000 0.5000 0.0000
Te3 0.5000 0.0000 0.0000
Ir1 0.5000 0.5000 0.5000
N1 0.0000 0.0000 0.0000

***

No. 3
CaHf3Pd | PBE | relaxed

## Properties
* calculated formation energy: 8.9 eV/f.u.
* offset from the most stable computed form: 1.383 eV per atom

abc: 4.9385 4.9385 4.9385
angles: 90.00 90.00 90.00
Sites, in units of the cell vectors:
Ca1 0.0000 0.0000 0.0000
Hf1 0.0000 0.0000 0.5000
Hf2 0.0000 0.5000 0.0000
Hf3 0.5000 0.0000 0.0000
Pd1 0.5000 0.5000 0.5000

***

No. 4
CoReH3 | PBE | relaxed

abc: 3.1874 3.1874 3.1874
angles: 90.00 90.00 90.00
Sites, in units of the cell vectors:
Co1 0.0000 0.0000 0.0000
Re1 0.5000 0.5000 0.5000
H1 0.0000 0.0000 0.5000
H2 0.0000 0.5000 0.0000
H3 0.5000 0.0000 0.0000

***

Number 1: raw total energy -7.886 eV/atom, magnetization 0.00 μB/f.u., calculated volume 197.5 Å³ per cell. Number 2: raw total energy -4.190 eV/atom, magnetization 0.00 μB/f.u., calculated volume 99.7 Å³ per cell. Number 3: raw total energy -5.626 eV/atom, magnetization 0.00 μB/f.u., calculated volume 120.4 Å³ per cell. Number 4: raw total energy -5.520 eV/atom, magnetization 0.00 μB/f.u., calculated volume 32.4 Å³ per cell.